The following is a PBE calculation of a relaxed structure of TbCo2NiH8, from Alexandria via LeMat-Bulk.

D(E_F) = 2.38 states/eV/f.u.
DFT total energy = -4.495 eV/atom
crystal system = trigonal

Geometry as POSCAR:
```
TbCo2NiH8
1.0
2.198 1.269 5.168
-2.198 1.269 5.168
0.000 -2.537 5.168
Tb Co Ni H
1 2 1 8
Direct
0.000 0.000 0.000
0.202 0.202 0.202
0.798 0.798 0.798
0.500 0.500 0.500
0.138 0.405 0.820
0.180 0.862 0.595
0.305 0.305 0.305
0.405 0.820 0.138
0.595 0.180 0.862
0.695 0.695 0.695
0.820 0.138 0.405
0.862 0.595 0.180
```


The following is a PBE calculation of a relaxed structure of CoTcNi2H, from Alexandria via LeMat-Bulk.

D(E_F) = 6.76 states/eV/f.u.
energy above the most stable polymorph in this dataset = 0.0 kJ/mol of atoms
crystal system = tetragonal

Geometry as POSCAR:
```
CoTcNi2H
1.0
3.586 0.000 0.000
0.000 3.586 0.000
0.000 0.000 3.873
Co Tc Ni H
1 1 2 1
Direct
0.000 0.000 0.000
0.500 0.500 0.000
0.000 0.500 0.500
0.500 0.000 0.500
0.500 0.500 0.500
```


The following is a PBE calculation of a relaxed structure of Co2TcNiH, from Alexandria via LeMat-Bulk.

D(E_F) = 7.74 states/eV/f.u.
energy above the most stable polymorph in this dataset = 91.1 kJ/mol of atoms
crystal system = tetragonal

Geometry as POSCAR:
```
Co2TcNiH
1.0
4.447 0.000 0.000
0.000 4.447 0.000
0.000 0.000 3.166
Co Tc Ni H
2 1 1 1
Direct
0.000 0.500 0.000
0.500 0.000 0.000
0.000 0.000 0.000
0.500 0.500 0.500
0.000 0.000 0.500
```


The following is a PBE calculation of a relaxed structure of CoTcNi2H, from Alexandria via LeMat-Bulk.

D(E_F) = 5.57 states/eV/f.u.
energy above the most stable polymorph in this dataset = 1.8 kJ/mol of atoms
crystal system = tetragonal

Geometry as POSCAR:
```
CoTcNi2H
1.0
3.628 0.000 0.000
0.000 3.628 0.000
0.000 0.000 3.750
Co Tc Ni H
1 1 2 1
Direct
0.000 0.000 0.000
0.500 0.500 0.000
0.000 0.500 0.500
0.500 0.000 0.500
0.000 0.000 0.500
```


Total magnetization, respectively: 0.0 2.4 2.5 3.0 μB per formula unit.